{
  "formula": "Sn2Ge2Br",
  "functional": "PBE",
  "state": "optimized geometry",
  "final_energy_ev_per_cell": -19.11,
  "magmom_total_mub_per_cell": 0.0,
  "formation_energy_uncorrected_ev_per_atom": -0.0387,
  "polymorph_energy_mev_per_atom": 15,
  "lattice_angstrom": [[3.979, 0.000, 0.000], [0.000, 3.979, 0.000], [1.989, 1.989, 8.405]],
  "species": ["Ge", "Ge", "Sn", "Sn", "Br"],
  "fractional_positions": [[0.750, 0.250, 0.500], [0.250, 0.750, 0.500], [0.384, 0.384, 0.232], [0.616, 0.616, 0.768], [0.000, 0.000, 0.000]]
}